! YNiB2F, optimized geometry, DFT GGA+U; values from VASP
! V = 99 Å³/cell
! electronic total energy = -0.1357 Ha/atom
! size of the total moment = 0.101 μB per atom
! symmetry = P4/mmm, No. 123
&SYSTEM
  ibrav = 0, nat = 5, ntyp = 4
/
ATOMIC_SPECIES
Y 88.91 Y.upf
Ni 58.69 Ni.upf
B 10.81 B.upf
F 19.00 F.upf
ATOMIC_POSITIONS crystal
Y 0.0000 0.0000 0.0000
Ni 0.5000 0.5000 0.5000
B 0.0000 0.0000 0.5000
B 0.5000 0.0000 0.0000
F 0.0000 0.5000 0.0000
CELL_PARAMETERS angstrom
4.8773 0.0000 0.0000
0.0000 4.1754 0.0000
0.0000 0.0000 4.8773